Here is a relaxed PrScGe2 crystal from the Alexandria database. Energies are from PBE.

a b c (Å): 5.983 5.983 5.983
angles (deg): 44.33 44.33 44.33
Sites, in units of the cell vectors:
Pr1 0.000 0.000 0.000
Sc1 0.500 0.500 0.500
Ge1 0.232 0.232 0.232
Ge2 0.768 0.768 0.768

Calculated values
Calculated volume ... 95.1 Å³/cell
Space group ... R-3m (166)
Crystal system ... trigonal
Mass density ... 5.8 Mg/m³
DFT formation energy ... -0.677 eV per atom

Here is a relaxed Pr5Sc4Ge4 crystal from the Alexandria database. Energies are from PBE.

a b c (Å): 9.097 9.097 9.097
angles (deg): 93.24 93.24 152.49
Sites, in units of the cell vectors:
Pr1 0.000 0.000 0.000
Pr2 0.299 0.371 0.670
Pr3 0.371 0.701 0.072
Pr4 0.629 0.299 0.928
Pr5 0.701 0.629 0.330
Sc1 0.099 0.587 0.686
Sc2 0.413 0.099 0.512
Sc3 0.587 0.901 0.488
Sc4 0.901 0.413 0.314
Ge1 0.064 0.252 0.315
Ge2 0.252 0.936 0.188
Ge3 0.748 0.064 0.812
Ge4 0.936 0.748 0.685

Calculated values
Calculated volume ... 337.8 Å³/cell
Space group ... I4/m (87)
Crystal system ... tetragonal
Mass density ... 5.8 Mg/m³
DFT formation energy ... -0.603 eV per atom

Here is a relaxed Pr5ScGe4 crystal from the Alexandria database. Energies are from PBE.

a b c (Å): 8.438 8.438 6.985
angles (deg): 90.83 90.83 34.54
Sites, in units of the cell vectors:
Pr1 0.000 0.000 0.000
Pr2 0.335 0.335 0.494
Pr3 0.336 0.336 0.996
Pr4 0.664 0.664 0.004
Pr5 0.665 0.665 0.506
Sc1 0.000 0.000 0.500
Ge1 0.174 0.174 0.749
Ge2 0.493 0.493 0.728
Ge3 0.507 0.507 0.272
Ge4 0.826 0.826 0.251

Calculated values
Calculated volume ... 281.9 Å³/cell
Space group ... C2/m (12)
Crystal system ... monoclinic
Mass density ... 6.1 Mg/m³
DFT formation energy ... -0.581 eV per atom

Here is a relaxed PrSc2Ge4 crystal from the Alexandria database. Energies are from PBE.

a b c (Å): 9.377 9.377 9.377
angles (deg): 155.64 154.34 35.68
Sites, in units of the cell vectors:
Pr1 0.000 0.000 0.000
Sc1 0.182 0.682 0.500
Sc2 0.818 0.318 0.500
Ge1 0.335 0.835 0.500
Ge2 0.429 0.429 0.000
Ge3 0.571 0.571 0.000
Ge4 0.665 0.165 0.500

Calculated values
Calculated volume ... 147.1 Å³/cell
Space group ... Immm (71)
Crystal system ... orthorhombic
Mass density ... 5.9 Mg/m³
DFT formation energy ... -0.706 eV per atom

Here is a relaxed PrSc4Ge4 crystal from the Alexandria database. Energies are from PBE.

a b c (Å): 8.975 8.975 5.421
angles (deg): 90.00 90.00 90.00
Sites, in units of the cell vectors:
Pr1 0.250 0.250 0.250
Pr2 0.750 0.750 0.750
Sc1 0.112 0.632 0.137
Sc2 0.132 0.888 0.637
Sc3 0.368 0.612 0.637
Sc4 0.388 0.868 0.137
Sc5 0.612 0.132 0.863
Sc6 0.632 0.388 0.363
Sc7 0.868 0.112 0.363
Sc8 0.888 0.368 0.863
Ge1 0.065 0.584 0.652
Ge2 0.084 0.935 0.152
Ge3 0.416 0.565 0.152
Ge4 0.435 0.916 0.652
Ge5 0.565 0.084 0.348
Ge6 0.584 0.435 0.848
Ge7 0.916 0.065 0.848
Ge8 0.935 0.416 0.348

Calculated values
Calculated volume ... 436.7 Å³/cell
Space group ... P4_2/n (86)
Crystal system ... tetragonal
Mass density ... 4.6 Mg/m³
DFT formation energy ... -0.609 eV per atom

Here is a relaxed Pr3ScGe6 crystal from the Alexandria database. Energies are from PBE.

a b c (Å): 7.807 7.807 7.807
angles (deg): 97.84 97.84 97.84
Sites, in units of the cell vectors:
Pr1 0.183 0.750 0.317
Pr2 0.250 0.683 0.817
Pr3 0.317 0.183 0.750
Pr4 0.683 0.817 0.250
Pr5 0.750 0.317 0.183
Pr6 0.817 0.250 0.683
Sc1 0.000 0.000 0.000
Sc2 0.500 0.500 0.500
Ge1 0.015 0.089 0.371
Ge2 0.089 0.371 0.015
Ge3 0.129 0.411 0.485
Ge4 0.371 0.015 0.089
Ge5 0.411 0.485 0.129
Ge6 0.485 0.129 0.411
Ge7 0.515 0.871 0.589
Ge8 0.589 0.515 0.871
Ge9 0.629 0.985 0.911
Ge10 0.871 0.589 0.515
Ge11 0.911 0.629 0.985
Ge12 0.985 0.911 0.629

Calculated values
Calculated volume ... 461.1 Å³/cell
Space group ... R-3c (167)
Crystal system ... trigonal
Mass density ... 6.5 Mg/m³
DFT formation energy ... -0.689 eV per atom

Here is a relaxed Pr2Sc3Ge4 crystal from the Alexandria database. Energies are from PBE.

a b c (Å): 7.594 7.641 7.384
angles (deg): 90.00 109.14 90.00
Sites, in units of the cell vectors:
Pr1 0.194 0.173 0.068
Pr2 0.194 0.327 0.568
Pr3 0.806 0.673 0.432
Pr4 0.806 0.827 0.932
Sc1 0.252 0.669 0.251
Sc2 0.252 0.831 0.751
Sc3 0.500 0.000 0.500
Sc4 0.500 0.500 0.000
Sc5 0.748 0.169 0.249
Sc6 0.748 0.331 0.749
Ge1 0.084 0.543 0.862
Ge2 0.084 0.957 0.362
Ge3 0.497 0.131 0.863
Ge4 0.497 0.369 0.363
Ge5 0.503 0.631 0.637
Ge6 0.503 0.869 0.137
Ge7 0.916 0.043 0.638
Ge8 0.916 0.457 0.138

Calculated values
Calculated volume ... 404.8 Å³/cell
Space group ... P2_1/c (14)
Crystal system ... monoclinic
Mass density ... 5.8 Mg/m³
DFT formation energy ... -0.887 eV per atom

Here is a relaxed Pr2ScGe crystal from the Alexandria database. Energies are from PBE.

a b c (Å): 4.748 4.748 4.646
angles (deg): 90.00 90.00 90.00
Sites, in units of the cell vectors:
Pr1 0.000 0.500 0.000
Pr2 0.500 0.000 0.000
Sc1 0.000 0.000 0.500
Ge1 0.500 0.500 0.500

Calculated values
Calculated volume ... 104.7 Å³/cell
Space group ... P4/mmm (123)
Crystal system ... tetragonal
Mass density ... 6.3 Mg/m³
DFT formation energy ... -0.322 eV per atom